Entry 1:
## Cr3Ni4Rh12 (GGA-PBE)

Data for crystalline Cr3Ni4Rh12 at its relaxed geometry.

Cell: 9.0241 9.0241 9.0241 Å, 90.00 90.00 90.00°
Space group Im-3 (No. 204)
Asymmetric unit:
Cr1 0.0000 0.0000 0.5000 x6
Ni1 0.2500 0.2500 0.2500 x8
Rh1 0.0000 0.3576 0.2677 x24


Entry 2:
## CrNiRh6 (GGA-PBE)

Data for crystalline CrNiRh6 at its relaxed geometry.

Properties
excess energy over the best structure of this formula in the dataset	294.0	meV per atom

Cell: 4.9757 9.2659 4.9520 Å, 90.00 90.32 90.00°
Space group C2/m (No. 12)
Asymmetric unit:
Cr1 0.0000 0.0000 0.0000 x2
Ni1 0.0000 0.0000 0.5000 x2
Rh1 0.0396 0.5000 0.2517 x4
Rh2 0.1488 0.2194 0.2486 x8


Entry 3:
## Cr2NiRh4 (GGA-PBE)

Data for crystalline Cr2NiRh4 at its relaxed geometry.

Properties
excess energy over the best structure of this formula in the dataset	100.2	meV per atom

Cell: 4.2040 4.2040 18.1966 Å, 90.00 90.00 120.00°
Space group R-3m (No. 166, hexagonal axes)
Asymmetric unit:
Cr1 0.0000 0.0000 0.0632 x6
Ni1 0.0000 0.0000 0.5000 x3
Rh1 0.0000 0.0000 0.2108 x6
Rh2 0.0000 0.0000 0.3663 x6


Entry 4:
## Cr2Ni2Rh (GGA-PBE)

Data for crystalline Cr2Ni2Rh at its relaxed geometry.

Properties
excess energy over the best structure of this formula in the dataset	33.4	meV per atom

Cell: 12.9870 3.6536 2.5348 Å, 90.00 97.81 90.00°
Space group C2/m (No. 12)
Asymmetric unit:
Cr1 0.2014 0.0000 0.1366 x4
Ni1 0.1047 0.5000 0.5743 x4
Rh1 0.0000 0.0000 0.0000 x2


Energy of formation across the listed records, respectively: 0.57, 0.24, 0.11, 0.08 eV/atom.
N(E_F) across the listed records, respectively: 26.05, 10.96, 8.94, 7.57 states/eV/f.u..